1.
A relaxed structure of Ag2OsAu, computed with PBE.

The calculated volume comes out at 16.89 A^3/atom. The calculated formation energy comes out at 0.521 eV per atom. The value obtained for the total energy is -4.53 eV/atom.

Lattice parameters (Å, degrees): 5.7019 5.7019 2.6823 77.37 77.37 120.40
Closest atoms and distances in Å follow each position.
Fractional coordinates of all 4 atoms:
Os1 0.0000 0.5000 0.5000  2 Os 2.68, 4 Au 2.83-2.92, 4 Ag 2.87
Au1 0.5000 0.0000 0.5000  2 Au 2.68, 4 Os 2.83-2.92, 4 Ag 2.87
Ag1 0.0000 0.0000 0.0000  6 Ag 2.68-2.92, 2 Os 2.87, 2 Au 2.87
Ag2 0.5000 0.5000 0.0000  6 Ag 2.68-2.92, 2 Au 2.87, 2 Os 2.87

---

2.
A relaxed structure of Ag2OsAu, computed with PBE.

The calculated volume comes out at 16.94 A^3/atom. The calculated formation energy comes out at 0.543 eV per atom. The value obtained for the total energy is -4.51 eV/atom.

Lattice parameters (Å, degrees): 2.7477 4.9402 4.9912 90.00 90.00 90.00
Closest atoms and distances in Å follow each position.
Fractional coordinates of all 4 atoms:
Os1 0.0000 0.5000 0.5000  2 Os 2.75, 4 Au 2.83, 4 Ag 2.85
Au1 0.5000 0.0000 0.5000  2 Au 2.75, 4 Os 2.83, 4 Ag 2.85
Ag1 0.0000 0.0000 0.0000  6 Ag 2.75-2.83, 4 Au 2.85
Ag2 0.5000 0.5000 0.0000  6 Ag 2.75-2.83, 4 Os 2.85

---

3.
A relaxed structure of AgOs2Au, computed with PBE.

The calculated volume comes out at 15.80 A^3/atom. The calculated formation energy comes out at 1.093 eV per atom. The value obtained for the total energy is -6.05 eV/atom.

Lattice parameters (Å, degrees): 4.4715 4.4715 4.4715 60.00 60.00 60.00
Closest atoms and distances in Å follow each position.
Fractional coordinates of all 4 atoms:
Os1 0.2500 0.2500 0.2500  4 Au 2.74, 4 Ag 2.74
Os2 0.7500 0.7500 0.7500  4 Ag 2.74, 4 Au 2.74
Au1 0.5000 0.5000 0.5000  8 Os 2.74
Ag1 0.0000 0.0000 0.0000  8 Os 2.74

---

Question: Among the records above, which one has the highest calculated volume?
Answer: number 2